# 1
DFT (PBE-GGA) results for a relaxed structure of ZrSiSN2.

- E_form (uncorrected) (eV per formula unit) = -0.98
- space group = No. 123
- spin magnetization (μB per atom) = 0.000
- energy above the most stable polymorph in this dataset (eV/f.u.) = 0.000
- total DFT energy (no corrections) (eV per formula unit) = -35.7

abc: 3.652 3.652 4.546
angles: 90.00 90.00 90.00
Fractional coordinates of all 5 atoms:
S (0.000, 0.000, 0.500)
Si (0.000, 0.000, 0.000)
Zr (0.500, 0.500, 0.500)
N (0.000, 0.500, 0.000)
N (0.500, 0.000, 0.000)


# 2
DFT (PBE-GGA) results for a relaxed structure of ZrSiSN2.

- E_form (uncorrected) (eV per formula unit) = 2.60
- space group = No. 123
- spin magnetization (μB per atom) = 0.154
- energy above the most stable polymorph in this dataset (eV/f.u.) = 3.585
- total DFT energy (no corrections) (eV per formula unit) = -32.1

abc: 4.108 4.108 5.333
angles: 90.00 90.00 90.00
Fractional coordinates of all 5 atoms:
S (0.000, 0.000, 0.500)
Si (0.500, 0.500, 0.500)
Zr (0.000, 0.000, 0.000)
N (0.000, 0.500, 0.000)
N (0.500, 0.000, 0.000)


# 3
DFT (PBE-GGA) results for a relaxed structure of Sm6S5N.

- E_form (uncorrected) (eV per formula unit) = -23.07
- space group = No. 12
- spin magnetization (μB per atom) = 0.000
- total DFT energy (no corrections) (eV per formula unit) = -80.3

abc: 6.860 7.905 6.832
angles: 106.65 99.53 125.57
Fractional coordinates of all 12 atoms:
S (0.328, 0.828, 0.656)
S (0.667, 0.667, 0.333)
S (0.000, 0.500, 0.000)
S (0.333, 0.333, 0.667)
S (0.672, 0.172, 0.344)
Sm (0.155, 0.383, 0.307)
Sm (0.152, 0.924, 0.307)
Sm (0.463, 0.232, 0.000)
Sm (0.537, 0.768, 0.000)
Sm (0.848, 0.076, 0.693)
Sm (0.845, 0.617, 0.693)
N (0.000, 0.000, 0.000)


# 4
DFT (PBE-GGA) results for a relaxed structure of Sm4S3N.

- E_form (uncorrected) (eV per formula unit) = -14.96
- space group = No. 65
- spin magnetization (μB per atom) = 0.000
- energy above the most stable polymorph in this dataset (eV/f.u.) = 0.000
- total DFT energy (no corrections) (eV per formula unit) = -54.5

abc: 3.857 6.821 6.821
angles: 108.73 90.00 90.00
Fractional coordinates of all 8 atoms:
S (0.000, 0.000, 0.500)
S (0.500, 0.500, 0.500)
S (0.000, 0.500, 0.000)
Sm (0.000, 0.218, 0.218)
Sm (0.500, 0.770, 0.230)
Sm (0.000, 0.782, 0.782)
Sm (0.500, 0.230, 0.770)
N (0.500, 0.000, 0.000)


# 5
DFT (PBE-GGA) results for a relaxed structure of SmSN4.

- E_form (uncorrected) (eV per formula unit) = -1.47
- space group = No. 15
- spin magnetization (μB per atom) = 0.000
- total DFT energy (no corrections) (eV per formula unit) = -43.6

abc: 6.822 6.822 6.625
angles: 81.99 81.99 130.44
Fractional coordinates of all 12 atoms:
Sm (0.066, 0.934, 0.750)
Sm (0.934, 0.066, 0.250)
S (0.533, 0.467, 0.750)
S (0.467, 0.533, 0.250)
N (0.955, 0.420, 0.458)
N (0.762, 0.698, 0.100)
N (0.420, 0.955, 0.958)
N (0.698, 0.762, 0.600)
N (0.045, 0.580, 0.542)
N (0.580, 0.045, 0.042)
N (0.238, 0.302, 0.900)
N (0.302, 0.238, 0.400)


# 6
DFT (PBE-GGA) results for a relaxed structure of SmSN.

- E_form (uncorrected) (eV per formula unit) = -3.12
- space group = No. 2
- spin magnetization (μB per atom) = 0.000
- energy above the most stable polymorph in this dataset (eV/f.u.) = 0.000
- total DFT energy (no corrections) (eV per formula unit) = -20.3

abc: 4.006 12.715 10.355
angles: 163.99 88.75 100.95
Fractional coordinates of all 6 atoms:
Sm (0.333, 0.775, 0.328)
Sm (0.590, 0.249, 0.450)
S (0.841, 0.789, 0.544)
S (0.082, 0.236, 0.234)
N (0.380, 0.771, 0.083)
N (0.543, 0.253, 0.695)


Among the records above, which one has the highest E_form (uncorrected)? number 2